[1]
! PBE La4ErTm7, relaxed; values from VASP
&SYSTEM
  ibrav = 0, nat = 12, ntyp = 3
/
ATOMIC_SPECIES
La 138.91 La.upf
Er 167.26 Er.upf
Tm 168.93 Tm.upf
ATOMIC_POSITIONS crystal
La 0.093 0.093 0.288
La 0.365 0.365 0.225
La 0.635 0.635 0.775
La 0.907 0.907 0.712
Er 0.500 0.500 0.000
Tm 0.000 0.000 0.000
Tm 0.157 0.157 0.625
Tm 0.211 0.211 0.917
Tm 0.368 0.368 0.515
Tm 0.632 0.632 0.485
Tm 0.789 0.789 0.083
Tm 0.843 0.843 0.375
CELL_PARAMETERS angstrom
6.013 -2.945 0.000
6.013 2.945 0.000
-5.506 0.000 11.485
! M_tot, μB/f.u.: 0.00
! Formation energy from the elements, eV/atom: 0.280
! Symmetry: C2/m (12)

---

[2]
! PBE Ac3SiI, relaxed; values from VASP
&SYSTEM
  ibrav = 0, nat = 10, ntyp = 3
/
ATOMIC_SPECIES
Ac 227.00 Ac.upf
Si 28.09 Si.upf
I 126.90 I.upf
ATOMIC_POSITIONS crystal
Ac 0.250 0.061 0.163
Ac 0.250 0.250 0.745
Ac 0.250 0.439 0.163
Ac 0.750 0.561 0.837
Ac 0.750 0.750 0.255
Ac 0.750 0.939 0.837
Si 0.250 0.750 0.013
Si 0.750 0.250 0.987
I 0.250 0.750 0.570
I 0.750 0.250 0.430
CELL_PARAMETERS angstrom
4.463 0.000 0.000
0.000 10.010 0.000
0.000 0.000 8.778
! M_tot, μB/f.u.: 0.00
! Symmetry: Pmmn (59)
! Energy relative to the elements, uncorrected, eV/atom: -0.5320

---

[3]
! PBE KHI3, relaxed; values from VASP
&SYSTEM
  ibrav = 0, nat = 20, ntyp = 3
/
ATOMIC_SPECIES
K 39.10 K.upf
H 1.01 H.upf
I 126.90 I.upf
ATOMIC_POSITIONS crystal
K 0.235 0.197 0.331
K 0.235 0.303 0.831
K 0.765 0.697 0.169
K 0.765 0.803 0.669
H 0.281 0.556 0.116
H 0.281 0.944 0.616
H 0.719 0.056 0.384
H 0.719 0.444 0.884
I 0.132 0.721 0.598
I 0.132 0.779 0.098
I 0.143 0.714 0.350
I 0.143 0.786 0.850
I 0.411 0.133 0.632
I 0.411 0.367 0.132
I 0.589 0.633 0.868
I 0.589 0.867 0.368
I 0.857 0.214 0.150
I 0.857 0.286 0.650
I 0.868 0.221 0.902
I 0.868 0.279 0.402
CELL_PARAMETERS angstrom
9.516 0.000 0.000
0.000 7.106 0.000
-4.130 0.000 12.215
! Offset from the most stable computed form, eV per atom: 0.000
! M_tot, μB/f.u.: 0.00
! Symmetry: P2_1/c (14)

---

[4]
! PBE Li2Mg4CdIn2, relaxed; values from VASP
&SYSTEM
  ibrav = 0, nat = 9, ntyp = 4
/
ATOMIC_SPECIES
Li 6.94 Li.upf
Mg 24.30 Mg.upf
Cd 112.41 Cd.upf
In 114.82 In.upf
ATOMIC_POSITIONS crystal
Li 0.051 0.398 0.339
Li 0.949 0.602 0.661
Mg 0.156 0.186 0.994
Mg 0.279 0.942 0.669
Mg 0.721 0.058 0.331
Mg 0.844 0.814 0.006
Cd 0.500 0.500 0.000
In 0.382 0.731 0.335
In 0.618 0.269 0.665
CELL_PARAMETERS angstrom
4.397 0.000 0.000
2.176 6.515 0.000
0.026 2.159 6.755
! M_tot, μB/f.u.: 0.00
! Formation energy from the elements, eV/atom: -0.142
! Symmetry: P-1 (2)